1.
DFT (PBE-GGA) results for Pa5Hg after structural relaxation.

**DOS at the Fermi energy**: 12.3 states/eV/cell
**DFT formation energy**: 0.14 eV per formula unit
**VASP energy**: -7.940 eV/atom
**SG**: Cmmm
**ΔE to the lowest computed polymorph**: 0.0000 eV per atom

Cell: 3.216 5.521 8.737 Å, 108.42 90.00 90.00°
Fractional positions:
Pa 0.000 0.661 0.322
Pa 0.000 0.339 0.678
Pa 0.500 0.500 0.000
Pa 0.500 0.173 0.346
Pa 0.500 0.827 0.654
Hg 0.000 0.000 0.000

---

2.
DFT (PBE-GGA) results for ReAsRu2 after structural relaxation.

**DOS at the Fermi energy**: 4.1 states/eV/cell
**DFT formation energy**: 1.17 eV per formula unit
**VASP energy**: -8.619 eV/atom
**SG**: I-4m2

Cell: 4.744 4.744 4.744 Å, 132.12 132.12 70.03°
Fractional positions:
Re 0.750 0.250 0.500
As 0.500 0.500 0.000
Ru 0.000 0.000 0.000
Ru 0.250 0.750 0.500

---

3.
DFT (PBE-GGA) results for Na2ZnAsH after structural relaxation.

**VASP energy**: -2.712 eV/atom
**SG**: P2_1/m

Cell: 4.175 6.383 7.334 Å, 108.16 90.00 90.00°
Fractional positions:
Na 0.750 0.883 0.621
Na 0.750 0.741 0.048
Na 0.250 0.117 0.379
Na 0.250 0.259 0.952
Zn 0.250 0.582 0.676
Zn 0.750 0.418 0.324
As 0.250 0.638 0.320
As 0.750 0.362 0.680
H 0.250 0.848 0.832
H 0.750 0.152 0.168